Entry 1:
# La2TbPm2 (PBE, optimized geometry)
data_La2TbPm2
_symmetry_space_group_name_H-M 'C 1 2/c 1'
_symmetry_Int_Tables_number 15
_cell_length_a 8.8668
_cell_length_b 9.7593
_cell_length_c 9.0391
_cell_angle_alpha 90.00
_cell_angle_beta 111.86
_cell_angle_gamma 90.00
loop_
_symmetry_equiv_pos_as_xyz
'x,y,z'
'-x,-y,-z'
'-x,y,-z+1/2'
'x,-y,z+1/2'
'x+1/2,y+1/2,z'
'-x+1/2,-y+1/2,-z'
'-x+1/2,y+1/2,-z+1/2'
'x+1/2,-y+1/2,z+1/2'
loop_
_atom_site_label
_atom_site_type_symbol
_atom_site_fract_x
_atom_site_fract_y
_atom_site_fract_z
_atom_site_occupancy
La1 La 0.1603 0.0900 0.1366 1
Tb1 Tb 0.0000 0.2019 0.7500 1
Pm1 Pm 0.0000 0.5000 0.0000 1
Pm2 Pm 0.2500 0.2500 0.5000 1
# - E_form: 0.224 eV/atom
# - Size of the total moment: 0.0 μB/f.u.


Entry 2:
# Tm2Zn5Cu5 (PBE, optimized geometry)
data_Tm2Zn5Cu5
_symmetry_space_group_name_H-M 'P m m m'
_symmetry_Int_Tables_number 47
_cell_length_a 4.1734
_cell_length_b 5.1064
_cell_length_c 8.8407
_cell_angle_alpha 90.00
_cell_angle_beta 90.00
_cell_angle_gamma 90.00
loop_
_symmetry_equiv_pos_as_xyz
'x,y,z'
'-x,-y,-z'
'-x,-y,z'
'x,y,-z'
'x,-y,-z'
'-x,y,z'
'-x,y,-z'
'x,-y,z'
loop_
_atom_site_label
_atom_site_type_symbol
_atom_site_fract_x
_atom_site_fract_y
_atom_site_fract_z
_atom_site_occupancy
Tm1 Tm 0.0000 0.0000 0.0000 1
Tm2 Tm 0.0000 0.5000 0.5000 1
Zn1 Zn 0.5000 0.0000 0.5000 1
Zn2 Zn 0.5000 0.2506 0.2454 1
Cu1 Cu 0.0000 0.0000 0.3344 1
Cu2 Cu 0.0000 0.5000 0.1637 1
Cu3 Cu 0.5000 0.5000 0.0000 1
# - E_form: -0.281 eV/atom
# - Size of the total moment: 0.0 μB/f.u.